(1)
# LiHo2Ti (PBE-GGA, optimized geometry)
data_LiHo2Ti
_chemical_formula_sum 'Li3 Ho6 Ti3'
_symmetry_space_group_name_H-M 'P 1'
_symmetry_Int_Tables_number 1
_symmetry_space_group_name_Hall 'P 1'
_cell_length_a 3.211
_cell_length_b 3.211
_cell_length_c 34.282
_cell_angle_alpha 90.00
_cell_angle_beta 90.00
_cell_angle_gamma 120.00
loop_
_atom_site_label
_atom_site_type_symbol
_atom_site_fract_x
_atom_site_fract_y
_atom_site_fract_z
Li1 Li 0.000 0.000 0.000
Li2 Li 0.333 0.667 0.667
Li3 Li 0.667 0.333 0.333
Ho1 Ho 0.000 0.000 0.415
Ho2 Ho 0.000 0.000 0.585
Ho3 Ho 0.333 0.667 0.082
Ho4 Ho 0.333 0.667 0.252
Ho5 Ho 0.667 0.333 0.748
Ho6 Ho 0.667 0.333 0.918
Ti1 Ti 0.000 0.000 0.500
Ti2 Ti 0.333 0.667 0.167
Ti3 Ti 0.667 0.333 0.833
# offset from the most stable computed form: 1.28 eV per formula unit
# symmetry: No. 166

---

(2)
# Li4HoTl3 (PBE-GGA, optimized geometry)
data_Li4HoTl3
_chemical_formula_sum 'Li4 Ho1 Tl3'
_symmetry_space_group_name_H-M 'P 1'
_symmetry_Int_Tables_number 1
_symmetry_space_group_name_Hall 'P 1'
_cell_length_a 8.753
_cell_length_b 8.753
_cell_length_c 8.753
_cell_angle_alpha 32.28
_cell_angle_beta 32.28
_cell_angle_gamma 32.28
loop_
_atom_site_label
_atom_site_type_symbol
_atom_site_fract_x
_atom_site_fract_y
_atom_site_fract_z
Li1 Li 0.110 0.110 0.110
Li2 Li 0.370 0.370 0.370
Li3 Li 0.630 0.630 0.630
Li4 Li 0.890 0.890 0.890
Ho1 Ho 0.500 0.500 0.500
Tl1 Tl 0.000 0.000 0.000
Tl2 Tl 0.236 0.236 0.236
Tl3 Tl 0.764 0.764 0.764
# symmetry: No. 166

---

The records above yield total moment values of 0.416 0.000 μB per atom, respectively.
The records above yield E values of -51.31 -21.09 eV per cell, respectively.
The records above yield ΔH_f (0 K) values of 0.47 -0.22 eV/atom, respectively.